# Zr3CoO (GGA+U, optimized geometry)
data_Zr3CoO
_space_group_name_H-M_alt 'P 1'
_space_group_IT_number 1
_space_group_name_Hall 'P 1'
_cell_length_a 4.431
_cell_length_b 4.431
_cell_length_c 4.431
_cell_angle_alpha 90.00
_cell_angle_beta 90.00
_cell_angle_gamma 90.00
loop_
_atom_site_label
_atom_site_fract_x
_atom_site_fract_y
_atom_site_fract_z
_atom_site_occupancy
Zr1 0.500 0.000 0.000 1
Zr2 0.000 0.500 0.000 1
Zr3 0.000 0.000 0.500 1
O1 0.000 0.000 0.000 1
Co1 0.500 0.500 0.500 1
# Space-group type ... Pm-3m
# Total moment ... 1.6 μB per formula unit
# DOS at the Fermi energy ... 3.2 states/eV/f.u.
# Total DFT energy (no corrections) ... -8.033 eV per atom